1.
VASP calculation (GGA-PBE) on K2NaAuSe after structural relaxation.

Computed properties:
For the uncorrected formation energy, the calculation gives -0.6289 eV per atom. The space group is No. 123. The spin magnetization comes out at 0.0 μB/f.u.

Cell: 6.2461 6.2461 5.3807 Å, 90.00 90.00 90.00°
With the nearest neighbours (Å) after each atom.
Fractional positions:
1 Au 0.5000 0.5000 0.5000  8 K 4.12, 4 Na 4.42
2 Se 0.0000 0.0000 0.0000  2 Na 2.69
3 K 0.5000 0.0000 0.0000  2 Se 3.12
4 K 0.0000 0.5000 0.0000  2 Se 3.12
5 Na 0.0000 0.0000 0.5000  2 Se 2.69

=====

2.
VASP calculation (GGA-PBE) on KNa2Si2Au2 after structural relaxation.

Computed properties:
For the uncorrected formation energy, the calculation gives -0.0709 eV per atom. The space group is No. 12. The spin magnetization comes out at 0.0 μB/f.u.

Cell: 4.8647 4.7503 8.8075 Å, 104.73 90.00 120.80°
With the nearest neighbours (Å) after each atom.
Fractional positions:
1 Au 0.2536 0.5072 0.7248  3 Si 2.67-2.92, 4 Na 2.76-2.98
2 Au 0.7464 0.4928 0.2752  3 Si 2.67-2.92, 4 Na 2.76-2.98
3 Si 0.5480 0.0961 0.6503  1 Si 2.53, 1 Au 2.67, 3 Na 2.79
4 Si 0.4520 0.9039 0.3497  1 Si 2.53, 1 Au 2.67, 3 Na 2.79
5 Na 0.1284 0.2568 0.3974  4 Au 2.76-2.98, 3 Si 2.79
6 Na 0.8716 0.7432 0.6026  4 Au 2.76-2.98, 3 Si 2.79
7 K 0.0000 0.0000 0.0000  2 Na 3.34, 6 Au 3.60-3.62

=====

3.
VASP calculation (GGA-PBE) on K2NaSiAu after structural relaxation.

Computed properties:
For the uncorrected formation energy, the calculation gives 0.0039 eV per atom. The space group is No. 123. The spin magnetization comes out at 0.0 μB/f.u.

Cell: 6.5129 6.5129 4.6589 Å, 90.00 90.00 90.00°
With the nearest neighbours (Å) after each atom.
Fractional positions:
1 Na 0.5000 0.5000 0.5000  8 K 4.00
2 Au 0.0000 0.0000 0.0000  2 Si 2.33
3 K 0.0000 0.5000 0.0000  2 Au 3.26
4 K 0.5000 0.0000 0.0000  2 Au 3.26
5 Si 0.0000 0.0000 0.5000  2 Au 2.33